No. 1
{"formula": "AcHg4Bi", "functional": "PBE-GGA", "state": "optimized geometry", "lattice": [[6.473, 0.000, -0.218], [0.000, 7.020, 0.000], [-2.137, -3.510, 8.046]], "species": ["Ac", "Ac", "Hg", "Hg", "Hg", "Hg", "Hg", "Hg", "Hg", "Hg", "Bi", "Bi"], "frac_coords": [[0.270, 0.187, 0.373], [0.730, 0.813, 0.627], [0.000, 0.775, 0.000], [0.755, 0.344, 0.261], [0.245, 0.083, 0.739], [0.245, 0.656, 0.739], [0.755, 0.917, 0.261], [0.000, 0.225, 0.000], [0.892, 0.299, 0.597], [0.108, 0.701, 0.403], [0.610, 0.411, 0.822], [0.390, 0.589, 0.178]], "spacegroup": "No. 12", "de_polymorph_kj_per_mol_atoms": 8.3}

---

No. 2
{"formula": "K2AgHg2", "functional": "PBE-GGA", "state": "optimized geometry", "lattice": [[-4.987, -4.279, -1.465], [3.864, -5.164, 1.930], [-2.020, -4.356, 4.132]], "species": ["Hg", "Hg", "K", "K", "Ag"], "frac_coords": [[0.669, 0.669, 0.662], [0.331, 0.331, 0.338], [0.750, 0.250, 0.500], [0.250, 0.750, 0.500], [0.000, 0.000, 0.000]], "spacegroup": "No. 139", "de_polymorph_kj_per_mol_atoms": 10.7}

---

No. 3
{"formula": "NaV2CuRh", "functional": "PBE-GGA", "state": "optimized geometry", "lattice": [[-0.300, 4.405, -0.150], [-0.230, -0.174, -4.651], [-4.402, -0.292, 0.228]], "species": ["Rh", "Na", "Cu", "V", "V"], "frac_coords": [[0.000, 0.500, 0.000], [0.500, 0.500, 0.500], [0.000, 0.000, 0.000], [0.000, 0.000, 0.500], [0.500, 0.000, 0.000]], "energy_ev_per_atom": -4.990, "spacegroup": "No. 123"}

---

No. 4
{"formula": "H3AuCl", "functional": "PBE-GGA", "state": "optimized geometry", "lattice": [[-2.163, -2.320, -1.965], [-1.800, -0.966, 3.122], [-2.450, 2.758, -0.559]], "species": ["Au", "H", "H", "H", "Cl"], "frac_coords": [[0.500, 0.500, 0.500], [0.000, 0.000, 0.500], [0.500, 0.000, 0.000], [0.000, 0.500, 0.000], [0.000, 0.000, 0.000]], "spacegroup": "No. 221", "de_polymorph_kj_per_mol_atoms": 62.8}

---

No. 5
{"formula": "Pm3Er2Pb4", "functional": "PBE-GGA", "state": "optimized geometry", "lattice": [[-4.136, 2.309, -1.191], [0.341, -5.798, -2.409], [-4.184, -3.050, 8.617]], "species": ["Pm", "Pm", "Pm", "Er", "Er", "Pb", "Pb", "Pb", "Pb"], "frac_coords": [[0.631, 0.263, 0.416], [0.000, 0.000, 0.000], [0.369, 0.737, 0.584], [0.682, 0.365, 0.797], [0.318, 0.635, 0.203], [0.921, 0.842, 0.360], [0.343, 0.685, 0.894], [0.657, 0.315, 0.106], [0.079, 0.158, 0.640]], "spacegroup": "No. 12", "de_polymorph_kj_per_mol_atoms": 4.4}

---

No. 6
{"formula": "LaHgNO2", "functional": "PBE-GGA", "state": "optimized geometry", "lattice": [[4.491, 0.000, 0.000], [0.000, 4.491, 0.000], [0.000, 0.000, 5.213]], "species": ["O", "O", "La", "Hg", "N"], "frac_coords": [[0.500, 0.000, 0.000], [0.000, 0.500, 0.000], [0.000, 0.000, 0.000], [0.500, 0.500, 0.500], [0.000, 0.000, 0.500]], "formation_energy_uncorrected_mev_per_atom": -281, "spacegroup": "No. 123"}

---

No. 7
{"formula": "TbErSc", "functional": "PBE-GGA", "state": "optimized geometry", "lattice": [[3.460, 0.000, 0.000], [0.000, 3.460, 0.000], [-1.730, -1.730, 7.239]], "species": ["Er", "Sc", "Tb"], "frac_coords": [[0.328, 0.328, 0.657], [0.667, 0.667, 0.335], [0.004, 0.004, 0.009]], "spacegroup": "No. 107", "de_polymorph_kj_per_mol_atoms": 0.0}

---

No. 8
{"formula": "Ac2PuSi", "functional": "PBE-GGA", "state": "optimized geometry", "lattice": [[-3.589, -0.265, -2.006], [-1.386, -3.667, -1.267], [-6.948, -2.643, 8.549]], "species": ["Ac", "Ac", "Pu", "Si"], "frac_coords": [[0.890, 0.890, 0.331], [0.110, 0.110, 0.669], [0.000, 0.000, 0.000], [0.500, 0.500, 0.500]], "formation_energy_uncorrected_mev_per_atom": 285, "spacegroup": "No. 166", "de_polymorph_kj_per_mol_atoms": 27.6}

---

No. 9
{"formula": "Ac2Pr7Dy2", "functional": "PBE-GGA", "state": "optimized geometry", "lattice": [[6.977, 0.827, 1.193], [0.434, 7.533, 2.055], [0.434, -0.721, 7.774]], "species": ["Dy", "Dy", "Pr", "Pr", "Pr", "Pr", "Pr", "Pr", "Pr", "Ac", "Ac"], "frac_coords": [[0.601, 0.248, 0.248], [0.399, 0.752, 0.752], [0.771, 0.468, 0.468], [0.171, 0.121, 0.491], [0.829, 0.509, 0.879], [0.229, 0.532, 0.532], [0.171, 0.491, 0.121], [0.000, 0.000, 0.000], [0.829, 0.879, 0.509], [0.500, 0.189, 0.811], [0.500, 0.811, 0.189]], "spacegroup": "No. 12", "de_polymorph_kj_per_mol_atoms": 0.0}

---

No. 10
{"formula": "MgReRu2", "functional": "PBE-GGA", "state": "optimized geometry", "lattice": [[2.871, 0.000, 0.000], [0.000, 4.646, 0.000], [0.000, 0.000, 4.435]], "species": ["Ru", "Ru", "Mg", "Re"], "frac_coords": [[0.500, 0.500, 0.000], [0.000, 0.000, 0.000], [0.500, 0.000, 0.500], [0.000, 0.500, 0.500]], "energy_ev_per_atom": -7.782, "spacegroup": "No. 47"}

---

No. 11
{"formula": "La3DyY6", "functional": "PBE-GGA", "state": "optimized geometry", "lattice": [[-6.193, 3.236, -7.162], [-9.168, -3.920, -0.833], [-6.503, 2.490, -0.242]], "species": ["La", "La", "La", "Y", "Y", "Y", "Y", "Y", "Y", "Dy"], "frac_coords": [[0.350, 0.350, 0.950], [0.598, 0.598, 0.206], [0.102, 0.102, 0.694], [0.096, 0.427, 0.701], [0.427, 0.777, 0.701], [0.604, 0.273, 0.199], [0.273, 0.923, 0.199], [0.777, 0.096, 0.701], [0.923, 0.604, 0.199], [0.850, 0.850, 0.450]], "spacegroup": "No. 148", "de_polymorph_kj_per_mol_atoms": 10.9}

---

No. 12
{"formula": "MgTiTcO6", "functional": "PBE-GGA", "state": "optimized geometry", "lattice": [[5.054, 0.000, 0.000], [-2.527, 4.376, 0.000], [0.000, 0.000, 9.112]], "species": ["O", "O", "O", "O", "O", "O", "O", "O", "O", "O", "O", "O", "Mg", "Mg", "Ti", "Ti", "Tc", "Tc"], "frac_coords": [[0.347, 0.352, 0.365], [0.352, 0.347, 0.865], [0.352, 0.005, 0.635], [0.648, 0.995, 0.365], [0.995, 0.347, 0.635], [0.653, 0.648, 0.635], [0.347, 0.995, 0.135], [0.005, 0.352, 0.135], [0.653, 0.005, 0.865], [0.005, 0.653, 0.365], [0.648, 0.653, 0.135], [0.995, 0.648, 0.865], [0.000, 0.000, 0.500], [0.000, 0.000, 0.000], [0.667, 0.333, 0.250], [0.333, 0.667, 0.750], [0.667, 0.333, 0.750], [0.333, 0.667, 0.250]], "formation_energy_uncorrected_mev_per_atom": -2125, "spacegroup": "No. 163"}